The following is a GGA-PBE calculation of a geometry-optimized Sc2NbGa2Co5 structure, from the Alexandria database.

Unit cell a=9.186 b=9.186 c=3.366 alpha=90.00 beta=90.00 gamma=90.00
Fractional coordinates of all 20 atoms:
Sc (0.171, 0.329, 0.000)
Sc (0.329, 0.829, 0.000)
Sc (0.671, 0.171, 0.000)
Sc (0.829, 0.671, 0.000)
Nb (0.000, 0.000, 0.000)
Nb (0.500, 0.500, 0.000)
Ga (0.126, 0.626, 0.000)
Ga (0.374, 0.126, 0.000)
Ga (0.626, 0.874, 0.000)
Ga (0.874, 0.374, 0.000)
Co (0.000, 0.500, 0.500)
Co (0.064, 0.798, 0.500)
Co (0.202, 0.064, 0.500)
Co (0.298, 0.564, 0.500)
Co (0.436, 0.298, 0.500)
Co (0.500, 0.000, 0.500)
Co (0.564, 0.702, 0.500)
Co (0.702, 0.436, 0.500)
Co (0.798, 0.936, 0.500)
Co (0.936, 0.202, 0.500)

Results
spin magnetization = 0.00 μB/f.u.
ΔE_f = -297 meV per atom